No. 1
Ca4Np3UN8: relaxed, PBE-GGA.

a = 6.984 Å, b = 6.984 Å, c = 6.984 Å
α = 60.01°, β = 60.01°, γ = 60.01°
Atoms (fractional coordinates):
Ca (0.000, 0.000, 0.000)
Ca (0.000, 0.500, 0.500)
Ca (0.500, 0.000, 0.500)
Ca (0.500, 0.500, 0.000)
Np (0.000, 0.000, 0.500)
Np (0.000, 0.500, 0.000)
Np (0.500, 0.000, 0.000)
U (0.500, 0.500, 0.500)
N (0.237, 0.237, 0.237)
N (0.244, 0.735, 0.735)
N (0.265, 0.265, 0.756)
N (0.265, 0.756, 0.265)
N (0.735, 0.244, 0.735)
N (0.735, 0.735, 0.244)
N (0.756, 0.265, 0.265)
N (0.763, 0.763, 0.763)

Output
Formation energy (no corrections) in eV per formula unit: -19.13
V in Å³ per atom: 15.1
Density in g/cm³: 8.42
Symmetry: R-3m, No. 166
DOS(E_F) in states/eV/cell: 21.408
E in eV for the cell shown: -143.852

No. 2
Ca2Sb2Te: relaxed, PBE-GGA.

a = 8.319 Å, b = 8.319 Å, c = 4.638 Å
α = 90.00°, β = 90.00°, γ = 90.00°
Atoms (fractional coordinates):
Ca (0.176, 0.324, 0.000)
Ca (0.324, 0.824, 0.000)
Ca (0.676, 0.176, 0.000)
Ca (0.824, 0.676, 0.000)
Sb (0.118, 0.618, 0.500)
Sb (0.382, 0.118, 0.500)
Sb (0.618, 0.882, 0.500)
Sb (0.882, 0.382, 0.500)
Te (0.000, 0.000, 0.000)
Te (0.500, 0.500, 0.000)

Output
Formation energy (no corrections) in eV per formula unit: -3.88
V in Å³ per atom: 32.1
Density in g/cm³: 4.67
Symmetry: P4/mbm, No. 127
DOS(E_F) in states/eV/cell: 6.216
E in eV for the cell shown: -38.547
Relative energy among the computed polymorphs in meV/atom: 133

No. 3
TaPb2Se: relaxed, PBE-GGA.

a = 3.080 Å, b = 3.080 Å, c = 10.671 Å
α = 90.00°, β = 90.00°, γ = 101.20°
Atoms (fractional coordinates):
Ta (0.000, 0.000, 0.000)
Pb (0.500, 0.500, 0.228)
Pb (0.500, 0.500, 0.772)
Se (0.000, 0.000, 0.500)

Output
Formation energy (no corrections) in eV per formula unit: 1.86
V in Å³ per atom: 24.8
Density in g/cm³: 11.27
Symmetry: Cmmm, No. 65
DOS(E_F) in states/eV/cell: 3.847
E in eV for the cell shown: -20.895

No. 4
Ba12Mg2Tl5: relaxed, PBE-GGA.

a = 10.079 Å, b = 10.079 Å, c = 11.623 Å
α = 94.81°, β = 94.81°, γ = 53.07°
Atoms (fractional coordinates):
Ba (0.022, 0.022, 0.283)
Ba (0.069, 0.549, 0.862)
Ba (0.092, 0.621, 0.445)
Ba (0.379, 0.908, 0.555)
Ba (0.432, 0.432, 0.180)
Ba (0.451, 0.931, 0.138)
Ba (0.549, 0.069, 0.862)
Ba (0.568, 0.568, 0.820)
Ba (0.621, 0.092, 0.445)
Ba (0.908, 0.379, 0.555)
Ba (0.931, 0.451, 0.138)
Ba (0.978, 0.978, 0.717)
Mg (0.174, 0.826, 0.000)
Mg (0.826, 0.174, 0.000)
Tl (0.147, 0.147, 0.897)
Tl (0.224, 0.224, 0.356)
Tl (0.500, 0.500, 0.500)
Tl (0.776, 0.776, 0.644)
Tl (0.853, 0.853, 0.103)

Output
E_form in eV per atom: -0.139
V in Å³ per atom: 49.5
Density in g/cm³: 4.80
Symmetry: C2/m, No. 12
DOS(E_F) in states/eV/cell: 25.935
E in eV for the cell shown: -40.730

No. 5
Ac2SeF: relaxed, PBE-GGA.

a = 5.218 Å, b = 5.218 Å, c = 3.881 Å
α = 90.00°, β = 90.00°, γ = 90.00°
Atoms (fractional coordinates):
Ac (0.000, 0.500, 0.000)
Ac (0.500, 0.000, 0.000)
Se (0.000, 0.000, 0.500)
F (0.500, 0.500, 0.500)

Output
Formation energy (no corrections) in eV per formula unit: -6.62
V in Å³ per atom: 26.4
Density in g/cm³: 8.67
Symmetry: P4/mmm, No. 123
DOS(E_F) in states/eV/cell: 3.892
E in eV for the cell shown: -20.195
Relative energy among the computed polymorphs in meV/atom: 354

No. 6
HfGa2Co2: relaxed, PBE-GGA.

a = 5.608 Å, b = 5.608 Å, c = 5.608 Å
α = 139.48°, β = 139.48°, γ = 58.65°
Atoms (fractional coordinates):
Hf (0.000, 0.000, 0.000)
Ga (0.378, 0.378, 0.000)
Ga (0.622, 0.622, 0.000)
Co (0.250, 0.750, 0.500)
Co (0.750, 0.250, 0.500)

Output
E_form in eV per atom: -0.259
V in Å³ per atom: 14.8
Density in g/cm³: 9.81
Symmetry: I4/mmm, No. 139
DOS(E_F) in states/eV/cell: 3.349
E in eV for the cell shown: -31.513
Relative energy among the computed polymorphs in meV/atom: 43

No. 7
SrLi2HgP: relaxed, PBE-GGA.

a = 4.830 Å, b = 4.830 Å, c = 5.942 Å
α = 90.00°, β = 90.00°, γ = 90.00°
Atoms (fractional coordinates):
Sr (0.000, 0.000, 0.000)
Li (0.000, 0.500, 0.500)
Li (0.500, 0.000, 0.500)
Hg (0.500, 0.500, 0.000)
P (0.000, 0.000, 0.500)

Output
E_form in eV per atom: -0.507
V in Å³ per atom: 27.7
Density in g/cm³: 3.99
Symmetry: P4/mmm, No. 123
DOS(E_F) in states/eV/cell: 2.755
E in eV for the cell shown: -13.754

No. 8
NdPdPb: relaxed, PBE-GGA.

a = 6.337 Å, b = 6.337 Å, c = 6.337 Å
α = 147.16°, β = 147.16°, γ = 47.12°
Atoms (fractional coordinates):
Nd (0.000, 0.000, 0.000)
Pd (0.346, 0.346, 0.000)
Pb (0.707, 0.707, 0.000)

Output
E_form in eV per atom: -0.475
V in Å³ per atom: 24.8
Density in g/cm³: 10.20
Symmetry: I4mm, No. 107
DOS(E_F) in states/eV/cell: 2.745
E in eV for the cell shown: -15.094

No. 9
Y2Ga4Rh3: relaxed, PBE-GGA.

a = 7.914 Å, b = 6.883 Å, c = 5.502 Å
α = 78.56°, β = 58.48°, γ = 42.95°
Atoms (fractional coordinates):
Y (0.127, 0.127, 0.873)
Y (0.873, 0.873, 0.127)
Ga (0.169, 0.509, 0.491)
Ga (0.491, 0.831, 0.169)
Ga (0.509, 0.169, 0.831)
Ga (0.831, 0.491, 0.509)
Rh (0.000, 0.000, 0.500)
Rh (0.500, 0.500, 0.000)
Rh (0.500, 0.500, 0.500)

Output
E_form in eV per atom: -0.700
V in Å³ per atom: 18.3
Density in g/cm³: 7.70
Symmetry: Fmmm, No. 69
DOS(E_F) in states/eV/cell: 4.593
E in eV for the cell shown: -53.387

No. 10
CsZrI4: relaxed, PBE-GGA.

a = 9.779 Å, b = 9.779 Å, c = 7.569 Å
α = 100.78°, β = 100.78°, γ = 49.49°
Atoms (fractional coordinates):
Cs (0.199, 0.199, 0.228)
Cs (0.801, 0.801, 0.772)
Zr (0.477, 0.477, 0.685)
Zr (0.523, 0.523, 0.315)
I (0.174, 0.626, 0.395)
I (0.262, 0.738, 0.000)
I (0.313, 0.313, 0.764)
I (0.374, 0.826, 0.605)
I (0.626, 0.174, 0.395)
I (0.687, 0.687, 0.236)
I (0.738, 0.262, 0.000)
I (0.826, 0.374, 0.605)

Output
Formation energy (no corrections) in eV per formula unit: -6.53
V in Å³ per atom: 44.9
Density in g/cm³: 4.51
Symmetry: C2/m, No. 12
DOS(E_F) in states/eV/cell: 0.075
E in eV for the cell shown: -44.259

No. 11
Nd2MgAs4Rh3: relaxed, PBE-GGA.

a = 4.290 Å, b = 4.290 Å, c = 10.488 Å
α = 90.00°, β = 90.00°, γ = 90.00°
Atoms (fractional coordinates):
Nd (0.000, 0.500, 0.236)
Nd (0.500, 0.000, 0.764)
Mg (0.000, 0.000, 0.500)
As (0.000, 0.000, 0.000)
As (0.000, 0.500, 0.647)
As (0.500, 0.000, 0.353)
As (0.500, 0.500, 0.000)
Rh (0.000, 0.500, 0.882)
Rh (0.500, 0.000, 0.118)
Rh (0.500, 0.500, 0.500)

Output
E_form in eV per atom: -0.895
V in Å³ per atom: 19.3
Density in g/cm³: 7.93
Symmetry: P-4m2, No. 115
DOS(E_F) in states/eV/cell: 4.010
E in eV for the cell shown: -60.730

No. 12
Ta3Al2: relaxed, PBE-GGA.

a = 9.904 Å, b = 9.904 Å, c = 5.216 Å
α = 90.00°, β = 90.00°, γ = 91.35°
Atoms (fractional coordinates):
Ta (0.037, 0.629, 0.011)
Ta (0.101, 0.899, 0.000)
Ta (0.131, 0.467, 0.521)
Ta (0.181, 0.181, 0.766)
Ta (0.184, 0.184, 0.263)
Ta (0.319, 0.681, 0.765)
Ta (0.371, 0.963, 0.011)
Ta (0.398, 0.398, 0.538)
Ta (0.467, 0.131, 0.521)
Ta (0.533, 0.869, 0.521)
Ta (0.602, 0.602, 0.538)
Ta (0.629, 0.037, 0.011)
Ta (0.681, 0.319, 0.765)
Ta (0.816, 0.816, 0.263)
Ta (0.819, 0.819, 0.766)
Ta (0.869, 0.533, 0.521)
Ta (0.899, 0.101, 0.000)
Ta (0.963, 0.371, 0.011)
Al (0.000, 0.000, 0.504)
Al (0.064, 0.739, 0.516)
Al (0.238, 0.434, 0.016)
Al (0.261, 0.936, 0.516)
Al (0.313, 0.687, 0.267)
Al (0.434, 0.238, 0.016)
Al (0.500, 0.500, 0.028)
Al (0.566, 0.762, 0.016)
Al (0.687, 0.313, 0.267)
Al (0.739, 0.064, 0.516)
Al (0.762, 0.566, 0.016)
Al (0.936, 0.261, 0.516)

Output
E_form in eV per atom: -0.231
V in Å³ per atom: 17.0
Density in g/cm³: 11.63
Symmetry: Cmm2, No. 35
DOS(E_F) in states/eV/cell: 15.635
E in eV for the cell shown: -265.187

Question: V of number 8 (NdPdPb)?
Answer: 24.8 Å³ per atom